Compound: Nd3AgAu2
Source: the Alexandria database
Functional: PBE-GGA
Structure: relaxed

```
data_Nd3AgAu2
_chemical_formula_sum 'Nd3 Ag1 Au2'
_cell_length_a 3.7216
_cell_length_b 3.7216
_cell_length_c 11.2266
_cell_angle_alpha 90.00
_cell_angle_beta 90.00
_cell_angle_gamma 90.00
_symmetry_space_group_name_H-M 'P 1'
_symmetry_Int_Tables_number 1
loop_
_symmetry_equiv_pos_as_xyz
'x,y,z'
loop_
_atom_site_label
_atom_site_type_symbol
_atom_site_fract_x
_atom_site_fract_y
_atom_site_fract_z
Au1 Au 0.5000 0.5000 0.8320
Ag1 Ag 0.5000 0.5000 0.5000
Nd1 Nd 0.0000 0.0000 0.0000
Nd2 Nd 0.0000 0.0000 0.3286
Au2 Au 0.5000 0.5000 0.1680
Nd3 Nd 0.0000 0.0000 0.6714
```

Values from the calculation:
* formation energy: -13.869 kcal/mol of atoms
* DOS(E_F): 3.99 states/eV/f.u.
* magnetic moment: 0.0 Bohr magnetons per cell
* total DFT energy (no corrections): -4.553 eV/atom



Compound: BaScSi2Hg
Source: the Alexandria database
Functional: PBE-GGA
Structure: relaxed

```
data_BaScSi2Hg
_chemical_formula_sum 'Ba1 Sc1 Si2 Hg1'
_cell_length_a 5.5715
_cell_length_b 5.8280
_cell_length_c 5.5715
_cell_angle_alpha 90.00
_cell_angle_beta 90.00
_cell_angle_gamma 90.00
_symmetry_space_group_name_H-M 'P 1'
_symmetry_Int_Tables_number 1
loop_
_symmetry_equiv_pos_as_xyz
'x,y,z'
loop_
_atom_site_label
_atom_site_type_symbol
_atom_site_fract_x
_atom_site_fract_y
_atom_site_fract_z
Hg1 Hg 0.0000 0.5000 0.0000
Ba1 Ba 0.0000 0.0000 0.0000
Si1 Si 0.5000 0.0000 0.0000
Si2 Si 0.0000 0.0000 0.5000
Sc1 Sc 0.5000 0.5000 0.5000
```

Values from the calculation:
* DOS(E_F): 4.30 states/eV/f.u.
* magnetic moment: 0.5 Bohr magnetons per cell
* total DFT energy (no corrections): -2.601 eV/atom
* ΔE_f (raw): 1.2798 eV per atom



Compound: PuAgAuO6
Source: the Alexandria database
Functional: PBE-GGA
Structure: relaxed

```
data_PuAgAuO6
_chemical_formula_sum 'Pu2 Ag2 Au2 O12'
_cell_length_a 5.4230
_cell_length_b 5.4230
_cell_length_c 10.0558
_cell_angle_alpha 90.00
_cell_angle_beta 90.00
_cell_angle_gamma 120.00
_symmetry_space_group_name_H-M 'P 1'
_symmetry_Int_Tables_number 1
loop_
_symmetry_equiv_pos_as_xyz
'x,y,z'
loop_
_atom_site_label
_atom_site_type_symbol
_atom_site_fract_x
_atom_site_fract_y
_atom_site_fract_z
Pu1 Pu 0.6667 0.3333 0.2500
O1 O 0.6519 0.6445 0.1384
O2 O 0.3555 0.0073 0.1384
O3 O 0.6519 0.0073 0.3617
O4 O 0.3555 0.3481 0.3617
O5 O 0.3481 0.3555 0.8616
O6 O 0.6445 0.9927 0.8616
O7 O 0.9927 0.6445 0.3617
O8 O 0.3481 0.9927 0.6384
Ag1 Ag 0.0000 0.0000 0.0000
O9 O 0.6445 0.6519 0.6384
Pu2 Pu 0.3333 0.6667 0.7500
O10 O 0.9927 0.3481 0.1384
Au1 Au 0.3333 0.6667 0.2500
Au2 Au 0.6667 0.3333 0.7500
O11 O 0.0073 0.3555 0.6384
O12 O 0.0073 0.6519 0.8616
Ag2 Ag 0.0000 0.0000 0.5000
```

Values from the calculation:
* DOS(E_F): 4.92 states/eV/f.u.
* magnetic moment: 4.0 Bohr magnetons per cell
* total DFT energy (no corrections): -6.563 eV/atom
* ΔE_f (raw): -0.9839 eV per atom



Compound: SrAsP2
Source: the Alexandria database
Functional: PBE-GGA
Structure: relaxed

```
data_SrAsP2
_chemical_formula_sum 'Sr1 As1 P2'
_cell_length_a 4.4999
_cell_length_b 7.6193
_cell_length_c 4.1012
_cell_angle_alpha 57.42
_cell_angle_beta 90.01
_cell_angle_gamma 126.96
_symmetry_space_group_name_H-M 'P 1'
_symmetry_Int_Tables_number 1
loop_
_symmetry_equiv_pos_as_xyz
'x,y,z'
loop_
_atom_site_label
_atom_site_type_symbol
_atom_site_fract_x
_atom_site_fract_y
_atom_site_fract_z
P1 P 0.0000 0.5000 0.5000
As1 As 0.5000 0.0000 0.5000
P2 P 0.0000 0.0000 0.0000
Sr1 Sr 0.5000 0.5000 0.0000
```

Values from the calculation:
* formation energy: -1.771 kcal/mol of atoms
* DOS(E_F): 2.59 states/eV/f.u.
* magnetic moment: 0.0 Bohr magnetons per cell
* total DFT energy (no corrections): -4.365 eV/atom



Compound: TbPmMgSn
Source: the Alexandria database
Functional: PBE-GGA
Structure: relaxed

```
data_TbPmMgSn
_chemical_formula_sum 'Tb1 Pm1 Mg1 Sn1'
_cell_length_a 5.3650
_cell_length_b 5.3650
_cell_length_c 5.3650
_cell_angle_alpha 60.00
_cell_angle_beta 60.00
_cell_angle_gamma 60.00
_symmetry_space_group_name_H-M 'P 1'
_symmetry_Int_Tables_number 1
loop_
_symmetry_equiv_pos_as_xyz
'x,y,z'
loop_
_atom_site_label
_atom_site_type_symbol
_atom_site_fract_x
_atom_site_fract_y
_atom_site_fract_z
Tb1 Tb 0.0000 0.0000 0.0000
Sn1 Sn 0.2500 0.2500 0.2500
Mg1 Mg 0.7500 0.7500 0.7500
Pm1 Pm 0.5000 0.5000 0.5000
```

Values from the calculation:
* formation energy: -9.728 kcal/mol of atoms
* DOS(E_F): 3.83 states/eV/f.u.
* magnetic moment: 0.0 Bohr magnetons per cell
* total DFT energy (no corrections): -4.166 eV/atom



Compound: H2RuF8
Source: the Alexandria database
Functional: PBE-GGA
Structure: relaxed

```
data_H2RuF8
_chemical_formula_sum 'H2 Ru1 F8'
_cell_length_a 5.5014
_cell_length_b 5.7952
_cell_length_c 5.5592
_cell_angle_alpha 87.12
_cell_angle_beta 90.00
_cell_angle_gamma 118.34
_symmetry_space_group_name_H-M 'P 1'
_symmetry_Int_Tables_number 1
loop_
_symmetry_equiv_pos_as_xyz
'x,y,z'
loop_
_atom_site_label
_atom_site_type_symbol
_atom_site_fract_x
_atom_site_fract_y
_atom_site_fract_z
F1 F 0.6860 0.3720 0.5974
F2 F 0.3140 0.6280 0.4026
F3 F 0.8714 0.2191 0.1119
Ru1 Ru 0.0000 0.0000 0.0000
H1 H 0.7554 0.5108 0.4760
F4 F 0.3477 0.2191 0.1119
H2 H 0.2446 0.4892 0.5240
F5 F 0.0957 0.1914 0.7010
F6 F 0.9043 0.8086 0.2990
F7 F 0.6523 0.7809 0.8881
F8 F 0.1286 0.7809 0.8881
```

Values from the calculation:
* DOS(E_F): 9.15 states/eV/f.u.
* magnetic moment: 2.0 Bohr magnetons per cell
* total DFT energy (no corrections): -4.329 eV/atom



Compound: FeSn3B
Source: the Alexandria database
Functional: PBE-GGA
Structure: relaxed

```
data_FeSn3B
_chemical_formula_sum 'Fe1 Sn3 B1'
_cell_length_a 4.8870
_cell_length_b 4.8870
_cell_length_c 4.8870
_cell_angle_alpha 90.00
_cell_angle_beta 90.00
_cell_angle_gamma 90.00
_symmetry_space_group_name_H-M 'P 1'
_symmetry_Int_Tables_number 1
loop_
_symmetry_equiv_pos_as_xyz
'x,y,z'
loop_
_atom_site_label
_atom_site_type_symbol
_atom_site_fract_x
_atom_site_fract_y
_atom_site_fract_z
Fe1 Fe 0.0000 0.0000 0.0000
Sn1 Sn 0.0000 0.0000 0.5000
B1 B 0.5000 0.5000 0.5000
Sn2 Sn 0.0000 0.5000 0.0000
Sn3 Sn 0.5000 0.0000 0.0000
```

Values from the calculation:
* formation energy: 22.252 kcal/mol of atoms
* DOS(E_F): 5.26 states/eV/f.u.
* magnetic moment: 0.0 Bohr magnetons per cell
* total DFT energy (no corrections): -4.465 eV/atom



Compound: ScMo2Rh
Source: the Alexandria database
Functional: PBE-GGA
Structure: relaxed

```
data_ScMo2Rh
_chemical_formula_sum 'Sc1 Mo2 Rh1'
_cell_length_a 4.5024
_cell_length_b 4.5024
_cell_length_c 4.5024
_cell_angle_alpha 60.00
_cell_angle_beta 60.00
_cell_angle_gamma 60.00
_symmetry_space_group_name_H-M 'P 1'
_symmetry_Int_Tables_number 1
loop_
_symmetry_equiv_pos_as_xyz
'x,y,z'
loop_
_atom_site_label
_atom_site_type_symbol
_atom_site_fract_x
_atom_site_fract_y
_atom_site_fract_z
Mo1 Mo 0.7500 0.7500 0.7500
Sc1 Sc 0.0000 0.0000 0.0000
Rh1 Rh 0.5000 0.5000 0.5000
Mo2 Mo 0.2500 0.2500 0.2500
```

Values from the calculation:
* formation energy: 4.788 kcal/mol of atoms
* DOS(E_F): 6.32 states/eV/f.u.
* magnetic moment: 0.0 Bohr magnetons per cell
* total DFT energy (no corrections): -8.629 eV/atom



Compound: BaNb2S
Source: the Alexandria database
Functional: PBE-GGA
Structure: relaxed

```
data_BaNb2S
_chemical_formula_sum 'Ba2 Nb4 S2'
_cell_length_a 4.8913
_cell_length_b 4.8913
_cell_length_c 9.9139
_cell_angle_alpha 75.72
_cell_angle_beta 75.72
_cell_angle_gamma 90.00
_symmetry_space_group_name_H-M 'P 1'
_symmetry_Int_Tables_number 1
loop_
_symmetry_equiv_pos_as_xyz
'x,y,z'
loop_
_atom_site_label
_atom_site_type_symbol
_atom_site_fract_x
_atom_site_fract_y
_atom_site_fract_z
Nb1 Nb 0.3869 0.1250 0.2500
S1 S 0.5000 0.5000 0.0000
Nb2 Nb 0.3631 0.6250 0.2500
Ba1 Ba 0.0000 0.0000 0.0000
S2 S 0.2500 0.7500 0.5000
Ba2 Ba 0.7500 0.2500 0.5000
Nb3 Nb 0.3750 0.6131 0.7500
Nb4 Nb 0.8750 0.6369 0.7500
```

Values from the calculation:
* DOS(E_F): 3.37 states/eV/f.u.
* magnetic moment: 0.0 Bohr magnetons per cell
* total DFT energy (no corrections): -6.316 eV/atom
* ΔE_f (raw): 0.2315 eV per atom



Question: What is the total DFT energy (no corrections) in the fourth record?
Answer: -4.365 eV/atom



Question: Which formula does entry 6 have?
Answer: H2RuF8



Question: total DFT energy (no corrections) of number 5 (TbPmMgSn)?
Answer: -4.166 eV/atom